LiPuTlI6: relaxed, PBE.

```
data_LiPuTlI6
_space_group_name_H-M_alt 'P -3 1 c'
_space_group_IT_number 163
_space_group_name_Hall '-P 3 2c'
_cell_length_a 7.7377
_cell_length_b 7.7377
_cell_length_c 15.2746
_cell_angle_alpha 90.00
_cell_angle_beta 90.00
_cell_angle_gamma 120.00
loop_
_atom_site_label
_atom_site_type_symbol
_atom_site_fract_x
_atom_site_fract_y
_atom_site_fract_z
_atom_site_occupancy
Li1 Li 0.3333 0.6667 0.2500 1
Pu1 Pu 0.3333 0.6667 0.7500 1
Tl1 Tl 0.0000 0.0000 0.0000 1
I1 I 0.9996 0.3618 0.1371 1
```

Output
formation energy (no corrections)	-0.884	eV/atom
V	44.00	Å³ per atom


Zr3MnB: relaxed, PBE.

```
data_Zr3MnB
_space_group_name_H-M_alt 'P m -3 m'
_space_group_IT_number 221
_space_group_name_Hall '-P 4 2 3'
_cell_length_a 4.556
_cell_length_b 4.556
_cell_length_c 4.556
_cell_angle_alpha 90.00
_cell_angle_beta 90.00
_cell_angle_gamma 90.00
loop_
_atom_site_label
_atom_site_type_symbol
_atom_site_fract_x
_atom_site_fract_y
_atom_site_fract_z
_atom_site_occupancy
Zr1 Zr 0.000 0.000 0.500 1
Mn1 Mn 0.500 0.500 0.500 1
B1 B 0.000 0.000 0.000 1
```

Output
energy above the most stable polymorph in this dataset	0.00	eV/f.u.
energy of formation	285	meV/atom
V	18.92	Å³ per atom


Si2TcAu: relaxed, PBE.

```
data_Si2TcAu
_space_group_name_H-M_alt 'I -4 2 d'
_space_group_IT_number 122
_space_group_name_Hall 'I -4 2bw'
_cell_length_a 5.545
_cell_length_b 5.545
_cell_length_c 10.980
_cell_angle_alpha 90.00
_cell_angle_beta 90.00
_cell_angle_gamma 90.00
loop_
_atom_site_label
_atom_site_type_symbol
_atom_site_fract_x
_atom_site_fract_y
_atom_site_fract_z
_atom_site_occupancy
Si1 Si 0.229 0.250 0.125 1
Tc1 Tc 0.000 0.000 0.000 1
Au1 Au 0.000 0.000 0.500 1
```

Output
energy above the most stable polymorph in this dataset	2.32	eV/f.u.
formation energy (no corrections)	0.417	eV/atom
V	21.10	Å³ per atom


BeSnSCl2: relaxed, PBE.

```
data_BeSnSCl2
_space_group_name_H-M_alt 'P 4/m m m'
_space_group_IT_number 123
_space_group_name_Hall '-P 4 2'
_cell_length_a 4.424
_cell_length_b 4.424
_cell_length_c 4.874
_cell_angle_alpha 90.00
_cell_angle_beta 90.00
_cell_angle_gamma 90.00
loop_
_atom_site_label
_atom_site_type_symbol
_atom_site_fract_x
_atom_site_fract_y
_atom_site_fract_z
_atom_site_occupancy
Be1 Be 0.000 0.000 0.000 1
Sn1 Sn 0.500 0.500 0.500 1
S1 S 0.000 0.000 0.500 1
Cl1 Cl 0.000 0.500 0.000 1
```

Output
energy above the most stable polymorph in this dataset	0.00	eV/f.u.
formation energy (no corrections)	-0.579	eV/atom
V	19.08	Å³ per atom


KErP2O6: relaxed, PBE.

```
data_KErP2O6
_space_group_name_H-M_alt 'C 1 2/c 1'
_space_group_IT_number 15
_cell_length_a 7.504
_cell_length_b 11.188
_cell_length_c 8.388
_cell_angle_alpha 90.00
_cell_angle_beta 96.24
_cell_angle_gamma 90.00
loop_
_space_group_symop_operation_xyz
'x,y,z'
'-x,-y,-z'
'-x,y,-z+1/2'
'x,-y,z+1/2'
'x+1/2,y+1/2,z'
'-x+1/2,-y+1/2,-z'
'-x+1/2,y+1/2,-z+1/2'
'x+1/2,-y+1/2,z+1/2'
loop_
_atom_site_label
_atom_site_type_symbol
_atom_site_fract_x
_atom_site_fract_y
_atom_site_fract_z
_atom_site_occupancy
K1 K 0.000 0.095 0.250 1
Er1 Er 0.000 0.340 0.750 1
P1 P 0.124 0.371 0.188 1
O1 O 0.070 0.338 0.012 1
O2 O 0.184 0.498 0.713 1
O3 O 0.234 0.217 0.733 1
```

Output
formation energy (no corrections)	-2.584	eV/atom
V	17.50	Å³ per atom


Nd3Sm3Ho2: relaxed, PBE.

```
data_Nd3Sm3Ho2
_space_group_name_H-M_alt 'C 1 2/m 1'
_space_group_IT_number 12
_cell_length_a 16.569
_cell_length_b 5.800
_cell_length_c 6.051
_cell_angle_alpha 90.00
_cell_angle_beta 111.15
_cell_angle_gamma 90.00
loop_
_space_group_symop_operation_xyz
'x,y,z'
'-x,-y,-z'
'-x,y,-z'
'x,-y,z'
'x+1/2,y+1/2,z'
'-x+1/2,-y+1/2,-z'
'-x+1/2,y+1/2,-z'
'x+1/2,-y+1/2,z'
loop_
_atom_site_label
_atom_site_type_symbol
_atom_site_fract_x
_atom_site_fract_y
_atom_site_fract_z
_atom_site_occupancy
Nd1 Nd 0.000 0.000 0.000 1
Nd2 Nd 0.135 0.000 0.692 1
Sm1 Sm 0.000 0.500 0.500 1
Sm2 Sm 0.134 0.500 0.080 1
Ho1 Ho 0.250 0.000 0.318 1
```

Output
energy of formation	77	meV/atom
V	33.90	Å³ per atom


Co2NiPtN: relaxed, PBE.

```
data_Co2NiPtN
_space_group_name_H-M_alt 'P 4/m m m'
_space_group_IT_number 123
_space_group_name_Hall '-P 4 2'
_cell_length_a 3.784
_cell_length_b 3.784
_cell_length_c 3.855
_cell_angle_alpha 90.00
_cell_angle_beta 90.00
_cell_angle_gamma 90.00
loop_
_atom_site_label
_atom_site_type_symbol
_atom_site_fract_x
_atom_site_fract_y
_atom_site_fract_z
_atom_site_occupancy
Co1 Co 0.000 0.500 0.000 1
Ni1 Ni 0.000 0.000 0.500 1
Pt1 Pt 0.500 0.500 0.500 1
N1 N 0.000 0.000 0.000 1
```

Output
formation energy (no corrections)	-0.001	eV/atom
V	11.04	Å³ per atom


VW7: relaxed, PBE.

```
data_VW7
_space_group_name_H-M_alt 'R -3 m'
_space_group_IT_number 166
_space_group_name_Hall '-R 3 2"'
_cell_length_a 8.9482
_cell_length_b 8.9482
_cell_length_c 10.9750
_cell_angle_alpha 90.00
_cell_angle_beta 90.00
_cell_angle_gamma 120.00
loop_
_atom_site_label
_atom_site_type_symbol
_atom_site_fract_x
_atom_site_fract_y
_atom_site_fract_z
_atom_site_occupancy
V1 V 0.0000 0.0000 0.1243 1
W1 W 0.0000 0.0000 0.3740 1
W2 W 0.0020 0.5010 0.6246 1
W3 W 0.0020 0.5010 0.8746 1
```

Output
energy of formation	-57	meV/atom
V	15.85	Å³ per atom


YPuNp2As4: relaxed, PBE.

```
data_YPuNp2As4
_space_group_name_H-M_alt 'P 1 2/m 1'
_space_group_IT_number 10
_cell_length_a 7.125
_cell_length_b 4.105
_cell_length_c 7.148
_cell_angle_alpha 90.00
_cell_angle_beta 109.28
_cell_angle_gamma 90.00
loop_
_space_group_symop_operation_xyz
'x,y,z'
'-x,-y,-z'
'-x,y,-z'
'x,-y,z'
loop_
_atom_site_label
_atom_site_type_symbol
_atom_site_fract_x
_atom_site_fract_y
_atom_site_fract_z
_atom_site_occupancy
Y1 Y 0.000 0.000 0.000 1
Pu1 Pu 0.500 0.500 0.000 1
Np1 Np 0.000 0.500 0.500 1
Np2 Np 0.500 0.000 0.500 1
As1 As 0.250 0.000 0.748 1
As2 As 0.252 0.500 0.253 1
```

Output
energy of formation	-955	meV/atom
V	24.67	Å³ per atom


ThGe4Pd12: relaxed, PBE.

```
data_ThGe4Pd12
_space_group_name_H-M_alt 'I m -3'
_space_group_IT_number 204
_space_group_name_Hall '-I 2 2 3'
_cell_length_a 8.548
_cell_length_b 8.548
_cell_length_c 8.548
_cell_angle_alpha 90.00
_cell_angle_beta 90.00
_cell_angle_gamma 90.00
loop_
_atom_site_label
_atom_site_type_symbol
_atom_site_fract_x
_atom_site_fract_y
_atom_site_fract_z
_atom_site_occupancy
Th1 Th 0.000 0.000 0.000 1
Ge1 Ge 0.250 0.250 0.250 1
Pd1 Pd 0.000 0.159 0.342 1
```

Output
energy of formation	-298	meV/atom
V	18.37	Å³ per atom


| no. | size of the total moment (μB/f.u.) | E_tot (eV per formula unit) |
| --- | --- | --- |
| 1 | 4.0 | -35.9 |
| 2 | 0.0 | -40.1 |
| 3 | 0.0 | -22.8 |
| 4 | 0.0 | -18.4 |
| 5 | 0.0 | -72.1 |
| 6 | 0.0 | -37.0 |
| 7 | 4.0 | -34.4 |
| 8 | 0.0 | -100.3 |
| 9 | 5.2 | -72.9 |
| 10 | 0.0 | -93.3 |